[1]
# GGA-PBE NaCd2SnHg, relaxed
# - Calculated formation energy: -0.062 eV/atom
# - Mass density: 7.00 Mg/m³
# - DFT total energy: -7.8 eV per formula unit
# - Spin magnetization: 0.00 μB per formula unit
data_NaCd2SnHg
_cell_length_a 4.710
_cell_length_b 11.704
_cell_length_c 9.764
_cell_angle_alpha 90.00
_cell_angle_beta 90.00
_cell_angle_gamma 90.00
_space_group_name_H-M_alt 'C m c m'
_space_group_IT_number 63
_space_group_name_Hall '-C 2c 2'
loop_
_atom_site_label
_atom_site_type_symbol
_atom_site_fract_x
_atom_site_fract_y
_atom_site_fract_z
Na1 Na 0.000 0.058 0.250
Cd1 Cd 0.000 0.254 0.593
Sn1 Sn 0.000 0.349 0.250
Hg1 Hg 0.000 0.500 0.000

[2]
# GGA-PBE YMoAu, relaxed
# - Calculated formation energy: 0.459 eV/atom
# - Mass density: 8.53 Mg/m³
# - DFT total energy: -19.2 eV per formula unit
# - Energy relative to the lowest polymorph listed for this composition: 0.890 eV per formula unit
# - Spin magnetization: 3.00 μB per formula unit
data_YMoAu
_cell_length_a 6.674
_cell_length_b 6.674
_cell_length_c 6.674
_cell_angle_alpha 90.00
_cell_angle_beta 90.00
_cell_angle_gamma 90.00
_space_group_name_H-M_alt 'F -4 3 m'
_space_group_IT_number 216
_space_group_name_Hall 'F -4 2 3'
loop_
_atom_site_label
_atom_site_type_symbol
_atom_site_fract_x
_atom_site_fract_y
_atom_site_fract_z
Y1 Y 0.000 0.000 0.000
Mo1 Mo 0.000 0.000 0.500
Au1 Au 0.250 0.250 0.250

[3]
# GGA-PBE KScSi2, relaxed
# - Mass density: 2.06 Mg/m³
# - DFT total energy: -19.0 eV per formula unit
# - Energy relative to the lowest polymorph listed for this composition: 0.281 eV per formula unit
# - Formation energy from raw total energies: -179 meV per atom
# - Spin magnetization: 0.00 μB per formula unit
data_KScSi2
_cell_length_a 9.114
_cell_length_b 3.749
_cell_length_c 7.055
_cell_angle_alpha 90.00
_cell_angle_beta 110.08
_cell_angle_gamma 90.00
_space_group_name_H-M_alt 'C 1 2/m 1'
_space_group_IT_number 12
loop_
_space_group_symop_operation_xyz
'x,y,z'
'-x,-y,-z'
'-x,y,-z'
'x,-y,z'
'x+1/2,y+1/2,z'
'-x+1/2,-y+1/2,-z'
'-x+1/2,y+1/2,-z'
'x+1/2,-y+1/2,z'
loop_
_atom_site_label
_atom_site_type_symbol
_atom_site_fract_x
_atom_site_fract_y
_atom_site_fract_z
K1 K 0.000 0.000 0.000
Sc1 Sc 0.000 0.500 0.500
Si1 Si 0.243 0.000 0.607

[4]
# GGA-PBE TbPaCoRh, relaxed
# - Calculated formation energy: -0.357 eV/atom
# - Mass density: 11.66 Mg/m³
# - DFT total energy: -30.0 eV per formula unit
# - Energy relative to the lowest polymorph listed for this composition: 0.827 eV per formula unit
# - Spin magnetization: 0.00 μB per formula unit
data_TbPaCoRh
_cell_length_a 6.799
_cell_length_b 6.799
_cell_length_c 6.799
_cell_angle_alpha 90.00
_cell_angle_beta 90.00
_cell_angle_gamma 90.00
_space_group_name_H-M_alt 'F -4 3 m'
_space_group_IT_number 216
_space_group_name_Hall 'F -4 2 3'
loop_
_atom_site_label
_atom_site_type_symbol
_atom_site_fract_x
_atom_site_fract_y
_atom_site_fract_z
Tb1 Tb 0.000 0.000 0.000
Pa1 Pa 0.000 0.000 0.500
Co1 Co 0.250 0.250 0.750
Rh1 Rh 0.250 0.250 0.250